# Dy3Sn5Te12 PBE-GGA optimized geometry
data_Dy3Sn5Te12
_space_group_name_H-M_alt 'P 1'
_space_group_IT_number 1
_cell_length_a 15.553
_cell_length_b 15.553
_cell_length_c 15.553
_cell_angle_alpha 109.47
_cell_angle_beta 109.47
_cell_angle_gamma 109.47
loop_
_space_group_symop_operation_xyz
'x,y,z'
loop_
_atom_site_label
_atom_site_fract_x
_atom_site_fract_y
_atom_site_fract_z
Dy1 0.125 0.250 0.375
Dy2 0.125 0.375 0.750
Dy3 0.250 0.375 0.125
Dy4 0.250 0.875 0.625
Dy5 0.375 0.125 0.250
Dy6 0.375 0.750 0.125
Dy7 0.625 0.250 0.875
Dy8 0.625 0.875 0.750
Dy9 0.750 0.125 0.375
Dy10 0.750 0.625 0.875
Dy11 0.875 0.625 0.250
Dy12 0.875 0.750 0.625
Sn1 0.000 0.000 0.000
Sn2 0.000 0.000 0.500
Sn3 0.000 0.500 0.000
Sn4 0.000 0.500 0.500
Sn5 0.125 0.750 0.875
Sn6 0.125 0.875 0.250
Sn7 0.250 0.125 0.875
Sn8 0.250 0.625 0.375
Sn9 0.375 0.250 0.625
Sn10 0.375 0.625 0.750
Sn11 0.500 0.000 0.000
Sn12 0.500 0.000 0.500
Sn13 0.500 0.500 0.000
Sn14 0.500 0.500 0.500
Sn15 0.625 0.375 0.250
Sn16 0.625 0.750 0.375
Sn17 0.750 0.375 0.625
Sn18 0.750 0.875 0.125
Sn19 0.875 0.125 0.750
Sn20 0.875 0.250 0.125
Te1 0.053 0.225 0.139
Te2 0.053 0.329 0.914
Te3 0.085 0.725 0.671
Te4 0.085 0.861 0.414
Te5 0.086 0.639 0.415
Te6 0.086 0.947 0.671
Te7 0.139 0.053 0.225
Te8 0.139 0.586 0.915
Te9 0.171 0.225 0.585
Te10 0.171 0.447 0.586
Te11 0.225 0.139 0.053
Te12 0.225 0.585 0.171
Te13 0.275 0.329 0.915
Te14 0.275 0.447 0.361
Te15 0.329 0.914 0.053
Te16 0.329 0.915 0.275
Te17 0.361 0.275 0.447
Te18 0.361 0.585 0.914
Te19 0.414 0.085 0.861
Te20 0.414 0.829 0.553
Te21 0.415 0.086 0.639
Te22 0.415 0.829 0.775
Te23 0.447 0.361 0.275
Te24 0.447 0.586 0.171
Te25 0.553 0.414 0.829
Te26 0.553 0.639 0.725
Te27 0.585 0.171 0.225
Te28 0.585 0.914 0.361
Te29 0.586 0.171 0.447
Te30 0.586 0.915 0.139
Te31 0.639 0.415 0.086
Te32 0.639 0.725 0.553
Te33 0.671 0.085 0.725
Te34 0.671 0.086 0.947
Te35 0.725 0.553 0.639
Te36 0.725 0.671 0.085
Te37 0.775 0.415 0.829
Te38 0.775 0.861 0.947
Te39 0.829 0.553 0.414
Te40 0.829 0.775 0.415
Te41 0.861 0.414 0.085
Te42 0.861 0.947 0.775
Te43 0.914 0.053 0.329
Te44 0.914 0.361 0.585
Te45 0.915 0.139 0.586
Te46 0.915 0.275 0.329
Te47 0.947 0.671 0.086
Te48 0.947 0.775 0.861
# - Raw formation energy: -532.3 meV/atom